Record 1
Entry from Alexandria: a geometry-optimized TaSnCl2 structure (PBE).

Summary:
- formation energy (no corrections) (eV per atom) = 0.50

a b c (Å): 6.6609 6.6609 10.4361
angles (deg): 90.00 90.00 90.00
Closest atoms and distances in Å follow each position.
Space group I-42d (No. 122)
One atom of each set of equivalent atoms:
Ta 0.0000 0.0000 0.0000 (multiplicity 4)  4 Cl 2.34
Sn 0.0000 0.0000 0.5000 (multiplicity 4)  4 Cl 3.14
Cl 0.1513 0.2500 0.1250 (multiplicity 8)  2 Ta 2.34


Record 2
Entry from Alexandria: a geometry-optimized PmEr3Tl2 structure (PBE).

Summary:
- formation energy from the elements (eV per atom) = -0.167

a b c (Å): 16.3471 5.3776 9.2571
angles (deg): 90.00 119.39 90.00
Closest atoms and distances in Å follow each position.
Space group C2/m (No. 12)
One atom of each set of equivalent atoms:
Pm 0.1316 0.0000 0.1712 (multiplicity 4)  5 Tl 3.26-3.55, 2 Er 3.57
Er 0.0598 0.0000 0.7148 (multiplicity 4)  3 Tl 3.34-3.36, 6 Er 3.47-3.61
Er 0.1153 0.5000 0.5416 (multiplicity 4)  3 Tl 2.97-3.11
Er 0.1931 0.5000 0.9896 (multiplicity 4)  2 Tl 3.03-3.39, 2 Er 3.22
Tl 0.0192 0.5000 0.1730 (multiplicity 4)  1 Tl 2.95, 2 Er 2.97-3.03, 2 Pm 3.26
Tl 0.2219 0.0000 0.5946 (multiplicity 4)  5 Er 3.11-3.46, 1 Pm 3.44


Record 3
Entry from Alexandria: a geometry-optimized MgReOs structure (PBE).

Summary:
- formation energy from the elements (eV per atom) = 0.359

a b c (Å): 2.9401 4.6387 13.7905
angles (deg): 90.00 90.00 90.00
Closest atoms and distances in Å follow each position.
Space group Fmm2 (No. 42)
One atom of each set of equivalent atoms:
Mg 0.0000 0.0000 0.0000 (multiplicity 4)  6 Mg 2.75-2.94, 2 Os 2.77, 2 Re 2.83
Re 0.0000 0.0000 0.3246 (multiplicity 4)  2 Os 2.59, 4 Re 2.75, 2 Mg 2.83
Os 0.0000 0.0000 0.6701 (multiplicity 4)  2 Re 2.59, 4 Os 2.75, 2 Mg 2.77


Record 4
Entry from Alexandria: a geometry-optimized KMnAs2Se structure (PBE).

Summary:
- formation energy (no corrections) (eV per atom) = -0.11

a b c (Å): 4.7363 4.7363 5.3103
angles (deg): 90.00 90.00 90.00
Closest atoms and distances in Å follow each position.
Space group P4/mmm (No. 123)
One atom of each set of equivalent atoms:
K 0.0000 0.0000 0.0000 (multiplicity 1)  4 Se 3.35, 8 As 3.56
Mn 0.5000 0.5000 0.5000 (multiplicity 1)  4 As 2.37
As 0.0000 0.5000 0.5000 (multiplicity 2)  2 Mn 2.37
Se 0.5000 0.5000 0.0000 (multiplicity 1)  2 Mn 2.66


Record 5
Entry from Alexandria: a geometry-optimized Sr4TlHg5 structure (PBE).

Summary:
- formation energy from the elements (eV per atom) = -0.452

a b c (Å): 3.9909 3.9909 19.4690
angles (deg): 90.00 90.00 90.00
Closest atoms and distances in Å follow each position.
Space group P4/mmm (No. 123)
One atom of each set of equivalent atoms:
Sr 0.0000 0.0000 0.1039 (multiplicity 2)  8 Hg 3.47
Sr 0.0000 0.0000 0.3107 (multiplicity 2)  8 Hg 3.41-3.46, 1 Tl 3.68
Tl 0.0000 0.0000 0.5000 (multiplicity 1)  8 Hg 3.33, 2 Sr 3.68
Hg 0.5000 0.5000 0.0000 (multiplicity 1)  8 Sr 3.47
Hg 0.5000 0.5000 0.2080 (multiplicity 2)  8 Sr 3.46-3.47
Hg 0.5000 0.5000 0.4094 (multiplicity 2)  4 Tl 3.33, 4 Sr 3.41, 1 Hg 3.53


Record 6
Entry from Alexandria: a geometry-optimized KMgCr2 structure (PBE).

Summary:
- formation energy from the elements (eV per atom) = 1.138

a b c (Å): 4.7674 4.7674 9.2429
angles (deg): 90.00 90.00 90.00
Closest atoms and distances in Å follow each position.
Space group I-4m2 (No. 119)
One atom of each set of equivalent atoms:
K 0.0000 0.0000 0.0000 (multiplicity 2)  8 Cr 3.32-3.37, 4 Mg 3.32
Mg 0.0000 0.5000 0.7500 (multiplicity 2)  8 Cr 3.32-3.37, 4 K 3.32
Cr 0.0000 0.0000 0.5000 (multiplicity 2)  4 Cr 3.32, 4 Mg 3.32, 4 K 3.37
Cr 0.0000 0.5000 0.2500 (multiplicity 2)  4 Cr 3.32, 4 K 3.32, 4 Mg 3.37


Record 7
Entry from Alexandria: a geometry-optimized La6SmHo5 structure (PBE).

Summary:
- formation energy from the elements (eV per atom) = 0.023

a b c (Å): 5.2313 9.9824 15.7214
angles (deg): 90.00 90.00 90.00
Closest atoms and distances in Å follow each position.
Space group Immm (No. 71)
One atom of each set of equivalent atoms:
La 0.0000 0.2484 0.0000 (multiplicity 4)  6 Ho 3.60-3.64, 2 Sm 3.63, 4 La 3.70
La 0.0000 0.2508 0.3331 (multiplicity 8)  7 Ho 3.60-3.62, 1 Sm 3.63, 4 La 3.70
Sm 0.0000 0.0000 0.5000 (multiplicity 2)  8 La 3.63, 4 Ho 3.71
Ho 0.0000 0.0000 0.1669 (multiplicity 4)  8 La 3.61-3.62, 4 Ho 3.69-3.71
Ho 0.0000 0.5000 0.1672 (multiplicity 4)  8 La 3.60-3.64, 2 Ho 3.69, 2 Sm 3.71
Ho 0.0000 0.5000 0.5000 (multiplicity 2)  8 La 3.60-3.62, 4 Ho 3.71


Record 8
Entry from Alexandria: a geometry-optimized PuHf2Sc structure (PBE).

Summary:
- formation energy from the elements (eV per atom) = 0.309

a b c (Å): 3.1745 3.1745 32.9364
angles (deg): 90.00 90.00 120.00
Closest atoms and distances in Å follow each position.
Space group R-3m (No. 166, hexagonal axes)
One atom of each set of equivalent atoms:
Pu 0.0000 0.0000 0.0000 (multiplicity 3)  6 Hf 3.15, 6 Pu 3.17
Hf 0.0000 0.0000 0.4110 (multiplicity 6)  1 Sc 2.93, 3 Pu 3.15, 6 Hf 3.17
Sc 0.0000 0.0000 0.5000 (multiplicity 3)  2 Hf 2.93, 6 Sc 3.17


| no. | Fermi-level density of states (states/eV per cell) |
| --- | --- |
| 1 | 8.5 |
| 2 | 25.3 |
| 3 | 9.7 |
| 4 | 2.2 |
| 5 | 7.8 |
| 6 | 4.8 |
| 7 | 35.7 |
| 8 | 26.2 |